[1]
Material: Nd4Sm2Er5
Method: DFT, PBE-GGA
State: relaxed

The energy of formation is 268 meV/atom. The value obtained for the distance to the lowest polymorph of the same formula is 165 meV/atom. The calculation puts the spin magnetization at 0.0 μB per cell. The volume is 747.9 Å³ per cell. The energy comes out at -96.8 eV/cell. The crystal system is orthorhombic. Its density of states at the Fermi level is 1.4909 states/eV per atom.

It has space group Immm (No. 71), with a = 3.5194 Å, b = 9.2249 Å, c = 23.0374 Å, α = 90.00°, β = 90.00° and γ = 90.00°. The inequivalent atoms are Nd at (0.0000, 0.0000, 0.0960), Nd at (0.0000, 0.2944, 0.5000), Sm at (0.0000, 0.0000, 0.2307), Er at (0.0000, 0.1954, 0.3550) and Er at (0.0000, 0.5000, 0.0000).

---

[2]
Material: Pm5SmGa4
Method: DFT, PBE-GGA
State: relaxed

The energy of formation is -435 meV/atom. The calculation puts the spin magnetization at 0.0 μB per cell. The volume is 267.4 Å³ per cell. The energy comes out at -44.9 eV/cell. The crystal system is tetragonal. Its density of states at the Fermi level is 0.8232 states/eV per atom.

It has space group P4/mmm (No. 123), with a = 3.6387 Å, b = 3.6387 Å, c = 20.2000 Å, α = 90.00°, β = 90.00° and γ = 90.00°. The inequivalent atoms are Pm at (0.0000, 0.0000, 0.0000), Pm at (0.0000, 0.0000, 0.1848), Pm at (0.0000, 0.0000, 0.3684), Sm at (0.5000, 0.5000, 0.5000), Ga at (0.5000, 0.5000, 0.0925) and Ga at (0.5000, 0.5000, 0.2786).